Entry one
VASP calculation (PBE-GGA) on crystalline Tl2PdAu at its relaxed geometry.

Space-group type   R3m, No. 160
N(E_F)   0.461 states/eV/atom
Calculated density   13.24 g/cm3

```
Tl2PdAu
1.0
3.491 0.000 0.000
1.745 3.023 0.000
1.745 1.008 8.464
Tl Pd Au
2 1 1
Direct
0.080 0.080 0.760
0.254 0.254 0.239
0.666 0.666 0.001
0.500 0.500 0.500
```

Entry two
VASP calculation (PBE-GGA) on crystalline Tl2PdAu at its relaxed geometry.

Space-group type   R-3m, No. 166
N(E_F)   0.363 states/eV/atom
Calculated density   12.63 g/cm3

```
Tl2PdAu
1.0
3.267 0.000 0.000
1.633 2.829 0.000
1.633 0.943 10.134
Tl Au Pd
2 1 1
Direct
0.088 0.088 0.736
0.912 0.912 0.264
0.500 0.500 0.500
0.000 0.000 0.000
```

Entry three
VASP calculation (PBE-GGA) on crystalline Tl2PdAu at its relaxed geometry.

Space-group type   Cm, No. 8
N(E_F)   0.278 states/eV/atom
Calculated density   12.82 g/cm3

```
Tl2PdAu
1.0
-1.747 -1.957 -2.593
1.379 -5.024 0.239
-4.307 -2.615 2.252
Tl Pd Au
2 1 1
Direct
0.865 0.765 0.505
0.734 0.386 0.146
0.115 0.833 0.936
0.496 0.278 0.730
```

Entry four
VASP calculation (PBE-GGA) on crystalline Tl2PdAu at its relaxed geometry.

Space-group type   I-42d, No. 122
N(E_F)   0.452 states/eV/atom
Calculated density   12.45 g/cm3

```
Tl2PdAu
1.0
-4.041 1.629 0.950
0.886 -0.342 4.357
1.990 9.509 2.625
Tl Au Pd
4 2 2
Direct
0.616 0.125 0.250
0.134 0.625 0.250
0.375 0.384 0.750
0.875 0.866 0.750
0.000 0.000 0.000
0.750 0.250 0.500
0.500 0.500 0.000
0.250 0.750 0.500
```

What should be chosen as the least stable of them? Choose entry two.

Entry one
VASP calculation (PBE-GGA) on crystalline TlPd2Au2 at its relaxed geometry.

Space-group type   P4/mbm, No. 127
N(E_F)   0.432 states/eV/atom
Calculated density   14.02 g/cm3

```
TlPd2Au2
1.0
-1.513 6.601 -2.123
-2.370 1.550 6.507
3.504 1.127 1.008
Tl Au Pd
2 4 4
Direct
0.000 0.000 0.000
0.500 0.500 0.000
0.156 0.656 0.500
0.656 0.844 0.500
0.844 0.344 0.500
0.344 0.156 0.500
0.361 0.861 0.000
0.861 0.639 0.000
0.639 0.139 0.000
0.139 0.361 0.000
```

Entry two
VASP calculation (PBE-GGA) on crystalline TlPd2Au2 at its relaxed geometry.

Space-group type   P4/mbm, No. 127
N(E_F)   0.520 states/eV/atom
Calculated density   14.06 g/cm3

```
TlPd2Au2
1.0
-4.282 1.363 6.413
-1.986 -7.569 0.283
2.494 -0.588 1.790
Tl Au Pd
2 4 4
Direct
0.000 0.000 0.000
0.500 0.500 0.000
0.368 0.868 0.000
0.868 0.632 0.000
0.632 0.132 0.000
0.132 0.368 0.000
0.163 0.663 0.500
0.663 0.837 0.500
0.837 0.337 0.500
0.337 0.163 0.500
```

Entry three
VASP calculation (PBE-GGA) on crystalline TlPd2Au2 at its relaxed geometry.

Space-group type   I4/mmm, No. 139
N(E_F)   0.421 states/eV/atom
Calculated density   13.40 g/cm3

```
TlPd2Au2
1.0
3.852 0.000 0.000
0.000 3.852 0.000
1.926 1.926 6.776
Tl Au Pd
1 2 2
Direct
0.000 0.000 0.000
0.750 0.250 0.500
0.250 0.750 0.500
0.402 0.402 0.197
0.598 0.598 0.803
```

What should be chosen as the least stable of them? Choose entry three.

Entry one
VASP calculation (PBE-GGA) on crystalline TlPd2Au2 at its relaxed geometry.

Space-group type   P-1, No. 2
N(E_F)   0.253 states/eV/atom
Calculated density   14.06 g/cm3

```
TlPd2Au2
1.0
-4.638 -2.010 1.342
0.508 -3.900 -3.445
0.226 -3.868 1.772
Tl Pd Au
1 2 2
Direct
0.000 0.500 0.000
0.723 0.222 0.779
0.277 0.778 0.221
0.309 0.193 0.500
0.691 0.807 0.500
```

Entry two
VASP calculation (PBE-GGA) on crystalline TlPd2Au2 at its relaxed geometry.

Space-group type   P2_1/c, No. 14
N(E_F)   0.429 states/eV/atom
Calculated density   14.50 g/cm3

```
TlPd2Au2
1.0
-2.845 -2.458 -3.962
3.730 -6.264 1.209
-5.337 -1.723 7.545
Tl Pd Au
4 8 8
Direct
0.143 0.120 0.278
0.857 0.880 0.722
0.643 0.380 0.278
0.357 0.620 0.722
0.579 0.028 0.150
0.079 0.472 0.150
0.921 0.528 0.850
0.421 0.972 0.850
0.768 0.553 0.547
0.268 0.947 0.547
0.732 0.053 0.453
0.232 0.447 0.453
0.381 0.324 0.966
0.881 0.176 0.966
0.119 0.824 0.034
0.619 0.676 0.034
0.930 0.754 0.323
0.430 0.746 0.323
0.570 0.254 0.677
0.070 0.246 0.677
```

What should be chosen as the least stable of them? Choose entry one.

Entry one
VASP calculation (PBE-GGA) on crystalline Tl2PdAu2 at its relaxed geometry.

Space-group type   P4/mbm, No. 127
N(E_F)   0.193 states/eV/atom
Calculated density   13.44 g/cm3

```
Tl2PdAu2
1.0
-3.243 -6.948 -0.103
6.710 -3.161 1.943
-0.899 0.365 3.696
Tl Au Pd
4 4 2
Direct
0.328 0.828 0.000
0.828 0.672 0.000
0.672 0.172 0.000
0.172 0.328 0.000
0.131 0.631 0.500
0.631 0.869 0.500
0.869 0.369 0.500
0.369 0.131 0.500
0.000 0.000 0.000
0.500 0.500 0.000
```

Entry two
VASP calculation (PBE-GGA) on crystalline Tl2PdAu2 at its relaxed geometry.

Space-group type   I4/mmm, No. 139
N(E_F)   0.308 states/eV/atom
Calculated density   12.91 g/cm3

```
Tl2PdAu2
1.0
-1.231 -2.416 -2.619
0.607 -2.873 2.364
-7.975 -1.880 2.768
Tl Au Pd
2 2 1
Direct
0.405 0.405 0.191
0.595 0.595 0.809
0.750 0.250 0.500
0.250 0.750 0.500
0.000 0.000 0.000
```

What should be chosen as the least stable of them? Choose entry one.

Entry one
VASP calculation (PBE-GGA) on crystalline Tl2PdAu2 at its relaxed geometry.

Space-group type   I4/mmm, No. 139
N(E_F)   0.382 states/eV/atom
Calculated density   12.56 g/cm3

```
Tl2PdAu2
1.0
4.266 0.000 0.000
0.000 4.266 0.000
2.133 2.133 6.605
Tl Au Pd
2 2 1
Direct
0.750 0.250 0.500
0.250 0.750 0.500
0.402 0.402 0.197
0.598 0.598 0.803
0.000 0.000 0.000
```

Entry two
VASP calculation (PBE-GGA) on crystalline Tl2PdAu2 at its relaxed geometry.

Space-group type   Ibam, No. 72
N(E_F)   0.338 states/eV/atom
Calculated density   12.77 g/cm3

```
Tl2PdAu2
1.0
-5.708 -1.237 -1.168
0.415 -5.285 3.574
0.919 6.509 3.800
Tl Pd Au
4 2 4
Direct
0.141 0.915 0.283
0.859 0.085 0.717
0.359 0.632 0.717
0.641 0.368 0.283
0.250 0.500 0.000
0.750 0.500 0.000
0.627 0.903 0.254
0.373 0.097 0.746
0.873 0.649 0.746
0.127 0.351 0.254
```

What should be chosen as the least stable of them? Choose entry one.

Entry one
VASP calculation (PBE-GGA) on crystalline Tl2Pd8Au at its relaxed geometry.

Space-group type   C2/m, No. 12
N(E_F)   0.624 states/eV/atom
Calculated density   13.02 g/cm3

```
Tl2Pd8Au
1.0
4.153 0.000 0.000
0.000 6.477 0.257
-2.076 -2.437 6.812
Tl Pd Au
2 8 1
Direct
0.780 0.341 0.559
0.220 0.659 0.441
0.409 0.546 0.817
0.675 0.908 0.350
0.861 0.814 0.722
0.962 0.274 0.923
0.139 0.186 0.278
0.325 0.092 0.650
0.591 0.454 0.183
0.038 0.726 0.077
0.500 0.000 0.000
```

Entry two
VASP calculation (PBE-GGA) on crystalline Tl2Pd8Au at its relaxed geometry.

Space-group type   Immm, No. 71
N(E_F)   0.778 states/eV/atom
Calculated density   12.45 g/cm3

```
Tl2Pd8Au
1.0
3.861 0.000 -1.175
-1.216 7.038 -3.997
0.151 -0.516 7.426
Tl Pd Au
2 8 1
Direct
0.155 0.655 0.310
0.845 0.345 0.690
0.665 0.915 0.330
0.335 0.584 0.670
0.169 0.169 0.338
0.000 0.245 0.000
0.831 0.831 0.662
0.665 0.416 0.330
0.335 0.085 0.670
0.000 0.755 0.000
0.500 0.000 0.000
```

What should be chosen as the least stable of them? Choose entry two.